14
Lattice="-5.227 -2.567 -3.592 3.440 -0.085 -4.946 5.814 -5.708 4.142" Properties=species:S:1:pos:R:3 comment="PBE+U BaTlVO4, relaxed" polymorph_energy_mev_per_atom=46.8 spacegroup="P2_1/m (11)" crystal_system=monoclinic pbc="T T T"
Ba 2.949 -4.164 0.288
V 3.578 -2.608 -2.972
O 3.532 -2.062 -1.300
Tl 3.008 -7.205 -3.289
O -1.110 -6.257 -0.787
O 5.138 -2.102 -3.609
O 1.763 -6.420 -0.499
V 0.450 -5.751 -1.424
O 0.496 -6.297 -3.096
O 2.265 -1.939 -3.896
O 3.457 -4.331 -3.026
Tl 1.019 -1.154 -1.106
O 0.570 -4.028 -1.369
Ba 1.079 -4.195 -4.683